Compound: HfMoIr
Source: the Open Quantum Materials Database
Functional: GGA-PBE
Structure: optimized geometry

Output
excess energy over the best structure of this formula in the dataset: 617 meV per atom
symmetry: No. 216
calculated density: 12.9 Mg/m³
uncorrected energy: -9.28 eV per atom

POSCAR file:
```
HfMoIr
1.0
6.221 0.000 0.000
0.000 6.221 0.000
0.000 0.000 6.221
Hf Mo Ir
4 4 4
direct
0.000 0.000 0.000
0.000 0.500 0.500
0.500 0.000 0.500
0.500 0.500 0.000
0.250 0.250 0.250
0.250 0.750 0.750
0.750 0.250 0.750
0.750 0.750 0.250
0.250 0.250 0.750
0.250 0.750 0.250
0.750 0.250 0.250
0.750 0.750 0.750
```



Compound: HfMoIr2
Source: the Open Quantum Materials Database
Functional: GGA-PBE
Structure: optimized geometry

Output
symmetry: No. 216
calculated density: 16.9 Mg/m³
uncorrected energy: -9.84 eV per atom

POSCAR file:
```
HfMoIr2
1.0
6.377 0.000 0.000
0.000 6.377 0.000
0.000 0.000 6.377
Hf Mo Ir
4 4 8
direct
0.000 0.000 0.000
0.000 0.500 0.500
0.500 0.000 0.500
0.500 0.500 0.000
0.250 0.250 0.250
0.250 0.750 0.750
0.750 0.250 0.750
0.750 0.750 0.250
0.000 0.000 0.500
0.000 0.500 0.000
0.250 0.250 0.750
0.250 0.750 0.250
0.500 0.000 0.000
0.500 0.500 0.500
0.750 0.250 0.250
0.750 0.750 0.750
```



Compound: Hf2MoIr
Source: the Open Quantum Materials Database
Functional: GGA-PBE
Structure: optimized geometry

Output
excess energy over the best structure of this formula in the dataset: 7 meV per atom
symmetry: No. 123
calculated density: 15.2 Mg/m³
uncorrected energy: -10.50 eV per atom

POSCAR file:
```
Hf2MoIr
1.0
4.629 0.000 0.000
0.000 4.629 0.000
0.000 0.000 3.299
Hf Mo Ir
2 1 1
direct
0.000 0.500 0.000
0.500 0.000 0.000
0.000 0.000 0.500
0.500 0.500 0.500
```



Compound: HfMoIr
Source: the Open Quantum Materials Database
Functional: GGA-PBE
Structure: optimized geometry

Output
excess energy over the best structure of this formula in the dataset: 0 meV per atom
symmetry: No. 216
calculated density: 13.0 Mg/m³
uncorrected energy: -9.90 eV per atom

POSCAR file:
```
HfMoIr
1.0
6.208 0.000 0.000
0.000 6.208 0.000
0.000 0.000 6.208
Hf Mo Ir
4 4 4
direct
0.000 0.000 0.000
0.000 0.500 0.500
0.500 0.000 0.500
0.500 0.500 0.000
0.000 0.000 0.500
0.000 0.500 0.000
0.500 0.000 0.000
0.500 0.500 0.500
0.250 0.250 0.250
0.250 0.750 0.750
0.750 0.250 0.750
0.750 0.750 0.250
```



Compound: Hf2MoIr
Source: the Open Quantum Materials Database
Functional: GGA-PBE
Structure: optimized geometry

Output
excess energy over the best structure of this formula in the dataset: 0 meV per atom
symmetry: No. 225
calculated density: 15.2 Mg/m³
uncorrected energy: -10.51 eV per atom

POSCAR file:
```
Hf2MoIr
1.0
6.554 0.000 0.000
0.000 6.554 0.000
0.000 0.000 6.554
Hf Mo Ir
8 4 4
direct
0.250 0.250 0.250
0.250 0.250 0.750
0.250 0.750 0.250
0.250 0.750 0.750
0.750 0.250 0.250
0.750 0.250 0.750
0.750 0.750 0.250
0.750 0.750 0.750
0.000 0.000 0.000
0.000 0.500 0.500
0.500 0.000 0.500
0.500 0.500 0.000
0.000 0.000 0.500
0.000 0.500 0.000
0.500 0.000 0.000
0.500 0.500 0.500
```



Compound: Hf2MoIr
Source: the Open Quantum Materials Database
Functional: GGA-PBE
Structure: optimized geometry

Output
excess energy over the best structure of this formula in the dataset: 0 meV per atom
symmetry: No. 225
calculated density: 15.2 Mg/m³
uncorrected energy: -10.51 eV per atom

POSCAR file:
```
Hf2MoIr
1.0
6.553 0.000 0.000
0.000 6.553 0.000
0.000 0.000 6.553
Hf Mo Ir
8 4 4
direct
0.250 0.250 0.250
0.250 0.250 0.750
0.250 0.750 0.250
0.250 0.750 0.750
0.750 0.250 0.250
0.750 0.250 0.750
0.750 0.750 0.250
0.750 0.750 0.750
0.000 0.000 0.000
0.000 0.500 0.500
0.500 0.000 0.500
0.500 0.500 0.000
0.000 0.000 0.500
0.000 0.500 0.000
0.500 0.000 0.000
0.500 0.500 0.500
```



Compound: Hf2MoIr
Source: the Open Quantum Materials Database
Functional: GGA-PBE
Structure: optimized geometry

Output
excess energy over the best structure of this formula in the dataset: 487 meV per atom
symmetry: No. 62
calculated density: 13.8 Mg/m³
uncorrected energy: -10.02 eV per atom

POSCAR file:
```
Hf2MoIr
1.0
7.377 0.000 0.000
0.000 7.240 0.000
0.000 0.000 5.825
Hf Mo Ir
8 4 4
direct
0.189 0.020 0.149
0.189 0.480 0.149
0.311 0.520 0.649
0.311 0.980 0.649
0.689 0.020 0.351
0.689 0.480 0.351
0.811 0.520 0.851
0.811 0.980 0.851
0.019 0.250 0.588
0.481 0.750 0.088
0.519 0.250 0.912
0.981 0.750 0.412
0.091 0.750 0.863
0.409 0.250 0.363
0.591 0.750 0.637
0.909 0.250 0.137
```



Compound: Hf2MoIr
Source: the Open Quantum Materials Database
Functional: GGA-PBE
Structure: optimized geometry

Output
excess energy over the best structure of this formula in the dataset: 407 meV per atom
symmetry: No. 216
calculated density: 15.4 Mg/m³
uncorrected energy: -10.10 eV per atom

POSCAR file:
```
Hf2MoIr
1.0
6.535 0.000 0.000
0.000 6.535 0.000
0.000 0.000 6.535
Hf Mo Ir
8 4 4
direct
0.000 0.000 0.000
0.000 0.500 0.500
0.250 0.250 0.250
0.250 0.750 0.750
0.500 0.000 0.500
0.500 0.500 0.000
0.750 0.250 0.750
0.750 0.750 0.250
0.000 0.000 0.500
0.000 0.500 0.000
0.500 0.000 0.000
0.500 0.500 0.500
0.250 0.250 0.750
0.250 0.750 0.250
0.750 0.250 0.250
0.750 0.750 0.750
```



Compound: Hf3IrN
Source: the Open Quantum Materials Database
Functional: GGA-PBE
Structure: optimized geometry

Output
symmetry: No. 62
calculated density: 14.8 Mg/m³
uncorrected energy: -10.61 eV per atom

POSCAR file:
```
Hf3IrN
1.0
6.204 0.000 0.000
0.000 8.692 0.000
0.000 0.000 6.170
Hf Ir N
12 4 4
direct
0.018 0.250 0.087
0.216 0.047 0.717
0.216 0.453 0.717
0.284 0.547 0.217
0.284 0.953 0.217
0.482 0.750 0.587
0.518 0.250 0.413
0.716 0.047 0.783
0.716 0.453 0.783
0.784 0.547 0.283
0.784 0.953 0.283
0.982 0.750 0.913
0.038 0.750 0.487
0.462 0.250 0.987
0.538 0.750 0.013
0.962 0.250 0.513
0.000 0.000 0.000
0.000 0.500 0.000
0.500 0.000 0.500
0.500 0.500 0.500
```



Compound: HfIrNO
Source: the Open Quantum Materials Database
Functional: GGA-PBE
Structure: optimized geometry

Output
excess energy over the best structure of this formula in the dataset: 398 meV per atom
symmetry: No. 26
calculated density: 12.9 Mg/m³
uncorrected energy: -9.05 eV per atom

POSCAR file:
```
HfIrNO
1.0
3.029 0.000 0.000
0.000 5.968 0.000
0.000 0.000 5.701
Hf Ir N O
2 2 2 2
direct
0.000 0.137 0.000
0.000 0.863 0.500
0.500 0.270 0.598
0.500 0.730 0.098
0.000 0.192 0.369
0.000 0.808 0.869
0.500 0.370 0.949
0.500 0.630 0.449
```



Compound: HfIrNO
Source: the Open Quantum Materials Database
Functional: GGA-PBE
Structure: optimized geometry

Output
excess energy over the best structure of this formula in the dataset: 666 meV per atom
symmetry: No. 129
calculated density: 14.7 Mg/m³
uncorrected energy: -8.78 eV per atom

POSCAR file:
```
HfIrNO
1.0
4.546 0.000 0.000
0.000 4.546 0.000
0.000 0.000 4.385
Hf Ir N O
2 2 2 2
direct
0.250 0.750 0.000
0.750 0.250 0.000
0.250 0.250 0.423
0.750 0.750 0.577
0.250 0.250 0.922
0.750 0.750 0.078
0.250 0.750 0.500
0.750 0.250 0.500
```



Compound: HfIrNO
Source: the Open Quantum Materials Database
Functional: GGA-PBE
Structure: optimized geometry

Output
excess energy over the best structure of this formula in the dataset: 550 meV per atom
symmetry: No. 129
calculated density: 14.2 Mg/m³
uncorrected energy: -8.90 eV per atom

POSCAR file:
```
HfIrNO
1.0
3.706 0.000 0.000
0.000 3.706 0.000
0.000 0.000 6.811
Hf Ir N O
2 2 2 2
direct
0.250 0.250 0.162
0.750 0.750 0.838
0.250 0.750 0.500
0.750 0.250 0.500
0.250 0.250 0.687
0.750 0.750 0.313
0.250 0.750 0.000
0.750 0.250 0.000
```



Compound: HfIrNO
Source: the Open Quantum Materials Database
Functional: GGA-PBE
Structure: optimized geometry

Output
excess energy over the best structure of this formula in the dataset: 0 meV per atom
symmetry: No. 29
calculated density: 13.5 Mg/m³
uncorrected energy: -9.45 eV per atom

POSCAR file:
```
HfIrNO
1.0
5.255 0.000 0.000
0.000 7.297 0.000
0.000 0.000 5.153
Hf Ir N O
4 4 4 4
direct
0.027 0.155 0.000
0.473 0.155 0.500
0.527 0.845 0.000
0.973 0.845 0.500
0.039 0.453 0.670
0.461 0.453 0.170
0.539 0.547 0.670
0.961 0.547 0.170
0.130 0.323 0.327
0.370 0.323 0.827
0.630 0.677 0.327
0.870 0.677 0.827
0.237 0.973 0.754
0.263 0.973 0.254
0.737 0.027 0.754
0.763 0.027 0.254
```



Compound: HfIrNO
Source: the Open Quantum Materials Database
Functional: GGA-PBE
Structure: optimized geometry

Output
excess energy over the best structure of this formula in the dataset: 265 meV per atom
symmetry: No. 26
calculated density: 12.0 Mg/m³
uncorrected energy: -9.18 eV per atom

POSCAR file:
```
HfIrNO
1.0
3.804 0.000 0.000
0.000 5.832 0.000
0.000 0.000 5.017
Hf Ir N O
2 2 2 2
direct
0.000 0.221 0.000
0.000 0.779 0.500
0.500 0.418 0.484
0.500 0.582 0.984
0.500 0.257 0.828
0.500 0.743 0.328
0.000 0.114 0.374
0.000 0.886 0.874
```



Compound: NaHfIr
Source: the Open Quantum Materials Database
Functional: GGA-PBE
Structure: optimized geometry

Output
excess energy over the best structure of this formula in the dataset: 0 meV per atom
symmetry: No. 216
calculated density: 10.3 Mg/m³
uncorrected energy: -6.68 eV per atom

POSCAR file:
```
NaHfIr
1.0
6.337 0.000 0.000
0.000 6.337 0.000
0.000 0.000 6.337
Na Hf Ir
4 4 4
direct
0.000 0.000 0.000
0.000 0.500 0.500
0.500 0.000 0.500
0.500 0.500 0.000
0.000 0.000 0.500
0.000 0.500 0.000
0.500 0.000 0.000
0.500 0.500 0.500
0.250 0.250 0.250
0.250 0.750 0.750
0.750 0.250 0.750
0.750 0.750 0.250
```



Compound: Na2HfIrO6
Source: the Open Quantum Materials Database
Functional: GGA-PBE
Structure: optimized geometry

Output
symmetry: No. 225
calculated density: 6.9 Mg/m³
uncorrected energy: -6.96 eV per atom

POSCAR file:
```
Na2HfIrO6
1.0
0.000 3.944 3.944
3.944 0.000 3.944
3.944 3.944 0.000
Na Hf Ir O
2 1 1 6
direct
0.250 0.250 0.250
0.750 0.750 0.750
0.000 0.000 0.000
0.500 0.500 0.500
0.257 0.257 0.743
0.257 0.743 0.257
0.257 0.743 0.743
0.743 0.257 0.257
0.743 0.257 0.743
0.743 0.743 0.257
```



Compound: NaHfIrPb
Source: the Open Quantum Materials Database
Functional: GGA-PBE
Structure: optimized geometry

Output
excess energy over the best structure of this formula in the dataset: 194 meV per atom
symmetry: No. 216
calculated density: 12.5 Mg/m³
uncorrected energy: -5.91 eV per atom

POSCAR file:
```
NaHfIrPb
1.0
6.833 0.000 0.000
0.000 6.833 0.000
0.000 0.000 6.833
Na Hf Ir Pb
4 4 4 4
direct
0.000 0.000 0.000
0.000 0.500 0.500
0.500 0.000 0.500
0.500 0.500 0.000
0.000 0.000 0.500
0.000 0.500 0.000
0.500 0.000 0.000
0.500 0.500 0.500
0.250 0.250 0.750
0.250 0.750 0.250
0.750 0.250 0.250
0.750 0.750 0.750
0.250 0.250 0.250
0.250 0.750 0.750
0.750 0.250 0.750
0.750 0.750 0.250
```



Compound: NaHfIrPb
Source: the Open Quantum Materials Database
Functional: GGA-PBE
Structure: optimized geometry

Output
excess energy over the best structure of this formula in the dataset: 0 meV per atom
symmetry: No. 216
calculated density: 13.2 Mg/m³
uncorrected energy: -6.11 eV per atom

POSCAR file:
```
NaHfIrPb
1.0
6.707 0.000 0.000
0.000 6.707 0.000
0.000 0.000 6.707
Na Hf Ir Pb
4 4 4 4
direct
0.000 0.000 0.000
0.000 0.500 0.500
0.500 0.000 0.500
0.500 0.500 0.000
0.250 0.250 0.750
0.250 0.750 0.250
0.750 0.250 0.250
0.750 0.750 0.750
0.000 0.000 0.500
0.000 0.500 0.000
0.500 0.000 0.000
0.500 0.500 0.500
0.250 0.250 0.250
0.250 0.750 0.750
0.750 0.250 0.750
0.750 0.750 0.250
```



Compound: Na2HfZrSn2Ir2
Source: the Open Quantum Materials Database
Functional: GGA-PBE
Structure: optimized geometry

Output
symmetry: No. 115
calculated density: 10.7 Mg/m³
uncorrected energy: -6.27 eV per atom

POSCAR file:
```
Na2HfZrSn2Ir2
1.0
4.688 0.000 0.000
0.000 4.688 0.000
0.000 0.000 6.632
Na Hf Zr Sn Ir
2 1 1 2 2
direct
0.000 0.500 0.250
0.500 0.000 0.750
0.000 0.000 0.500
0.500 0.500 0.000
0.000 0.000 0.000
0.500 0.500 0.500
0.000 0.500 0.747
0.500 0.000 0.253
```



Compound: HfNbIr
Source: the Open Quantum Materials Database
Functional: GGA-PBE
Structure: optimized geometry

Output
excess energy over the best structure of this formula in the dataset: 0 meV per atom
symmetry: No. 216
calculated density: 12.3 Mg/m³
uncorrected energy: -9.94 eV per atom

POSCAR file:
```
HfNbIr
1.0
6.299 0.000 0.000
0.000 6.299 0.000
0.000 0.000 6.299
Hf Nb Ir
4 4 4
direct
0.000 0.000 0.000
0.000 0.500 0.500
0.500 0.000 0.500
0.500 0.500 0.000
0.000 0.000 0.500
0.000 0.500 0.000
0.500 0.000 0.000
0.500 0.500 0.500
0.250 0.250 0.250
0.250 0.750 0.750
0.750 0.250 0.750
0.750 0.750 0.250
```